First-principles (PBE) data for crystalline PmTmTh2S4 at its relaxed geometry, as listed in the Alexandria database.

## Properties
Volume   180 Å³/cell
E   -6.96 eV/atom
Formation energy (no corrections)   -1893 meV per atom

```
data_PmTmTh2S4
_cell_length_a 6.8146
_cell_length_b 3.9669
_cell_length_c 7.0392
_cell_angle_alpha 90.00
_cell_angle_beta 109.02
_cell_angle_gamma 90.00
_space_group_name_H-M_alt 'P 1'
_space_group_IT_number 1
_space_group_name_Hall 'P 1'
loop_
_atom_site_label
_atom_site_type_symbol
_atom_site_fract_x
_atom_site_fract_y
_atom_site_fract_z
Pm1 Pm 0.0000 0.0000 0.0000
Tm1 Tm 0.5000 0.5000 0.0000
Th1 Th 0.0000 0.5000 0.5000
Th2 Th 0.5000 0.0000 0.5000
S1 S 0.2549 0.5000 0.2396
S2 S 0.2630 0.0000 0.7657
S3 S 0.7370 0.0000 0.2343
S4 S 0.7451 0.5000 0.7604
```